Material: Li2ReIrPt
Method: DFT, SCAN
State: PBEsol geometry

Geometry as POSCAR:
```
Li2ReIrPt
1.0
-0.203 4.172 -0.448
-3.775 -0.377 -1.805
-2.057 0.354 4.227
Pt Li Re Ir
1 2 1 1
direct
0.500 0.500 0.500
0.000 0.500 0.000
0.500 0.000 0.000
0.000 0.000 0.500
0.000 0.000 0.000
```

Results
Fermi-level density of states   0.910 states/eV per atom
Formation energy   0.954 eV/atom
Energy   -3.1222 Ry/atom
Symmetry   P4/mmm


Material: Li2TiIrPt
Method: DFT, SCAN
State: PBEsol geometry

Geometry as POSCAR:
```
Li2TiIrPt
1.0
4.319 0.000 0.000
0.000 4.319 0.000
0.000 0.000 4.357
Ti Li Ir Pt
1 2 1 1
direct
0.000 0.000 0.000
0.500 0.000 0.000
0.000 0.500 0.000
0.000 0.000 0.500
0.500 0.500 0.500
```

Results
Fermi-level density of states   0.599 states/eV per atom
Formation energy   0.948 eV/atom
Energy   -2.3132 Ry/atom
Symmetry   P4/mmm


Material: LiReIr
Method: DFT, SCAN
State: PBEsol geometry

Geometry as POSCAR:
```
LiReIr
1.0
4.051 0.000 0.000
2.026 3.509 0.000
2.026 1.170 3.308
Re Ir Li
1 1 1
direct
0.500 0.500 0.500
0.250 0.250 0.250
0.000 0.000 0.000
```

Results
Fermi-level density of states   1.143 states/eV per atom
Formation energy   0.148 eV/atom
Energy   -3.5314 Ry/atom
Symmetry   F-43m